[1]
Entry from Alexandria: SrGa6Br12 after structural relaxation (PBE-GGA).

The structure in POSCAR format:
```
SrGa6Br12
1.0
5.225 3.017 7.406
-5.225 3.017 7.406
0.000 -6.033 7.406
Sr Ga Br
1 6 12
direct
0.000 0.000 0.000 Sr
0.107 0.309 0.442 Ga
0.309 0.442 0.107 Ga
0.442 0.107 0.309 Ga
0.558 0.893 0.691 Ga
0.691 0.558 0.893 Ga
0.893 0.691 0.558 Ga
0.031 0.891 0.341 Br
0.109 0.659 0.969 Br
0.150 0.457 0.587 Br
0.341 0.031 0.891 Br
0.413 0.850 0.543 Br
0.457 0.587 0.150 Br
0.543 0.413 0.850 Br
0.587 0.150 0.457 Br
0.659 0.969 0.109 Br
0.850 0.543 0.413 Br
0.891 0.341 0.031 Br
0.969 0.109 0.659 Br
```

Calculated values
V in Å³/cell: 700.3
Uncorrected formation energy in eV/atom: -0.7414
Density in g cm⁻³: 3.47
SG: No. 148
Total energy in Ry/atom: -0.2089


[2]
Entry from Alexandria: Sr3Ga5Br12 after structural relaxation (PBE-GGA).

The structure in POSCAR format:
```
Sr3Ga5Br12
1.0
-8.971 8.971 8.971
8.971 -8.971 8.971
8.971 8.971 -8.971
Sr Ga Br
12 20 48
direct
0.125 0.250 0.375 Sr
0.125 0.375 0.750 Sr
0.250 0.375 0.125 Sr
0.250 0.875 0.625 Sr
0.375 0.125 0.250 Sr
0.375 0.750 0.125 Sr
0.625 0.250 0.875 Sr
0.625 0.875 0.750 Sr
0.750 0.125 0.375 Sr
0.750 0.625 0.875 Sr
0.875 0.625 0.250 Sr
0.875 0.750 0.625 Sr
0.000 0.000 0.000 Ga
0.000 0.000 0.500 Ga
0.000 0.500 0.000 Ga
0.000 0.500 0.500 Ga
0.125 0.750 0.875 Ga
0.125 0.875 0.250 Ga
0.250 0.125 0.875 Ga
0.250 0.625 0.375 Ga
0.375 0.250 0.625 Ga
0.375 0.625 0.750 Ga
0.500 0.000 0.000 Ga
0.500 0.000 0.500 Ga
0.500 0.500 0.000 Ga
0.500 0.500 0.500 Ga
0.625 0.375 0.250 Ga
0.625 0.750 0.375 Ga
0.750 0.375 0.625 Ga
0.750 0.875 0.125 Ga
0.875 0.125 0.750 Ga
0.875 0.250 0.125 Ga
0.049 0.223 0.136 Br
0.049 0.326 0.913 Br
0.087 0.636 0.412 Br
0.087 0.951 0.674 Br
0.088 0.723 0.674 Br
0.088 0.864 0.413 Br
0.136 0.049 0.223 Br
0.136 0.587 0.912 Br
0.174 0.223 0.588 Br
0.174 0.451 0.587 Br
0.223 0.136 0.049 Br
0.223 0.588 0.174 Br
0.277 0.326 0.912 Br
0.277 0.451 0.364 Br
0.326 0.912 0.277 Br
0.326 0.913 0.049 Br
0.364 0.277 0.451 Br
0.364 0.588 0.913 Br
0.412 0.087 0.636 Br
0.412 0.826 0.777 Br
0.413 0.088 0.864 Br
0.413 0.826 0.549 Br
0.451 0.364 0.277 Br
0.451 0.587 0.174 Br
0.549 0.413 0.826 Br
0.549 0.636 0.723 Br
0.587 0.174 0.451 Br
0.587 0.912 0.136 Br
0.588 0.174 0.223 Br
0.588 0.913 0.364 Br
0.636 0.412 0.087 Br
0.636 0.723 0.549 Br
0.674 0.087 0.951 Br
0.674 0.088 0.723 Br
0.723 0.549 0.636 Br
0.723 0.674 0.088 Br
0.777 0.412 0.826 Br
0.777 0.864 0.951 Br
0.826 0.549 0.413 Br
0.826 0.777 0.412 Br
0.864 0.413 0.088 Br
0.864 0.951 0.777 Br
0.912 0.136 0.587 Br
0.912 0.277 0.326 Br
0.913 0.049 0.326 Br
0.913 0.364 0.588 Br
0.951 0.674 0.087 Br
0.951 0.777 0.864 Br
```

Calculated values
V in Å³/cell: 2888.3
Uncorrected formation energy in eV/atom: -1.1557
Density in g cm⁻³: 3.61
SG: No. 230
Total energy in Ry/atom: -0.2329


[3]
Entry from Alexandria: Sr5Ga2Br12 after structural relaxation (PBE-GGA).

The structure in POSCAR format:
```
Sr5Ga2Br12
1.0
8.356 -4.236 0.000
8.356 4.236 0.000
-4.494 0.000 10.052
Sr Ga Br
5 2 12
direct
0.000 0.000 0.000 Sr
0.281 0.281 0.544 Sr
0.298 0.298 0.126 Sr
0.702 0.702 0.874 Sr
0.719 0.719 0.456 Sr
0.219 0.781 0.500 Ga
0.781 0.219 0.500 Ga
0.062 0.542 0.352 Br
0.090 0.090 0.317 Br
0.095 0.631 0.004 Br
0.369 0.905 0.996 Br
0.458 0.938 0.648 Br
0.487 0.487 0.668 Br
0.513 0.513 0.332 Br
0.542 0.062 0.352 Br
0.631 0.095 0.004 Br
0.905 0.369 0.996 Br
0.910 0.910 0.683 Br
0.938 0.458 0.648 Br
```

Calculated values
V in Å³/cell: 711.5
Uncorrected formation energy in eV/atom: -1.7403
Density in g cm⁻³: 3.59
SG: No. 12
Total energy in Ry/atom: -0.2615


> Which value of density does entry 2 give?

3.61 g cm⁻³


Repeat the third record exactly.
Entry from Alexandria: Sr5Ga2Br12 after structural relaxation (PBE-GGA).

The structure in POSCAR format:
```
Sr5Ga2Br12
1.0
8.356 -4.236 0.000
8.356 4.236 0.000
-4.494 0.000 10.052
Sr Ga Br
5 2 12
direct
0.000 0.000 0.000 Sr
0.281 0.281 0.544 Sr
0.298 0.298 0.126 Sr
0.702 0.702 0.874 Sr
0.719 0.719 0.456 Sr
0.219 0.781 0.500 Ga
0.781 0.219 0.500 Ga
0.062 0.542 0.352 Br
0.090 0.090 0.317 Br
0.095 0.631 0.004 Br
0.369 0.905 0.996 Br
0.458 0.938 0.648 Br
0.487 0.487 0.668 Br
0.513 0.513 0.332 Br
0.542 0.062 0.352 Br
0.631 0.095 0.004 Br
0.905 0.369 0.996 Br
0.910 0.910 0.683 Br
0.938 0.458 0.648 Br
```

Calculated values
V in Å³/cell: 711.5
Uncorrected formation energy in eV/atom: -1.7403
Density in g cm⁻³: 3.59
SG: No. 12
Total energy in Ry/atom: -0.2615


What did the second record say?
Entry from Alexandria: Sr3Ga5Br12 after structural relaxation (PBE-GGA).

The structure in POSCAR format:
```
Sr3Ga5Br12
1.0
-8.971 8.971 8.971
8.971 -8.971 8.971
8.971 8.971 -8.971
Sr Ga Br
12 20 48
direct
0.125 0.250 0.375 Sr
0.125 0.375 0.750 Sr
0.250 0.375 0.125 Sr
0.250 0.875 0.625 Sr
0.375 0.125 0.250 Sr
0.375 0.750 0.125 Sr
0.625 0.250 0.875 Sr
0.625 0.875 0.750 Sr
0.750 0.125 0.375 Sr
0.750 0.625 0.875 Sr
0.875 0.625 0.250 Sr
0.875 0.750 0.625 Sr
0.000 0.000 0.000 Ga
0.000 0.000 0.500 Ga
0.000 0.500 0.000 Ga
0.000 0.500 0.500 Ga
0.125 0.750 0.875 Ga
0.125 0.875 0.250 Ga
0.250 0.125 0.875 Ga
0.250 0.625 0.375 Ga
0.375 0.250 0.625 Ga
0.375 0.625 0.750 Ga
0.500 0.000 0.000 Ga
0.500 0.000 0.500 Ga
0.500 0.500 0.000 Ga
0.500 0.500 0.500 Ga
0.625 0.375 0.250 Ga
0.625 0.750 0.375 Ga
0.750 0.375 0.625 Ga
0.750 0.875 0.125 Ga
0.875 0.125 0.750 Ga
0.875 0.250 0.125 Ga
0.049 0.223 0.136 Br
0.049 0.326 0.913 Br
0.087 0.636 0.412 Br
0.087 0.951 0.674 Br
0.088 0.723 0.674 Br
0.088 0.864 0.413 Br
0.136 0.049 0.223 Br
0.136 0.587 0.912 Br
0.174 0.223 0.588 Br
0.174 0.451 0.587 Br
0.223 0.136 0.049 Br
0.223 0.588 0.174 Br
0.277 0.326 0.912 Br
0.277 0.451 0.364 Br
0.326 0.912 0.277 Br
0.326 0.913 0.049 Br
0.364 0.277 0.451 Br
0.364 0.588 0.913 Br
0.412 0.087 0.636 Br
0.412 0.826 0.777 Br
0.413 0.088 0.864 Br
0.413 0.826 0.549 Br
0.451 0.364 0.277 Br
0.451 0.587 0.174 Br
0.549 0.413 0.826 Br
0.549 0.636 0.723 Br
0.587 0.174 0.451 Br
0.587 0.912 0.136 Br
0.588 0.174 0.223 Br
0.588 0.913 0.364 Br
0.636 0.412 0.087 Br
0.636 0.723 0.549 Br
0.674 0.087 0.951 Br
0.674 0.088 0.723 Br
0.723 0.549 0.636 Br
0.723 0.674 0.088 Br
0.777 0.412 0.826 Br
0.777 0.864 0.951 Br
0.826 0.549 0.413 Br
0.826 0.777 0.412 Br
0.864 0.413 0.088 Br
0.864 0.951 0.777 Br
0.912 0.136 0.587 Br
0.912 0.277 0.326 Br
0.913 0.049 0.326 Br
0.913 0.364 0.588 Br
0.951 0.674 0.087 Br
0.951 0.777 0.864 Br
```

Calculated values
V in Å³/cell: 2888.3
Uncorrected formation energy in eV/atom: -1.1557
Density in g cm⁻³: 3.61
SG: No. 230
Total energy in Ry/atom: -0.2329